[1]
DFT (PBE) results for crystalline Li2FeGePt at its relaxed geometry. Values from VASP.

Geometry as Quantum ESPRESSO input:
```
&SYSTEM
  ibrav = 0, nat = 5, ntyp = 4
/
ATOMIC_SPECIES
Ge 72.64 Ge.upf
Fe 55.84 Fe.upf
Pt 195.08 Pt.upf
Li 6.94 Li.upf
ATOMIC_POSITIONS crystal
Ge 0.500 0.500 0.500
Fe 0.000 0.500 0.000
Pt 0.000 0.000 0.000
Li 0.000 0.000 0.500
Li 0.500 0.000 0.000
CELL_PARAMETERS angstrom
-2.147 -1.223 -3.741
4.194 -0.097 -2.375
0.527 -4.313 1.107
```

=====

[2]
DFT (PBE) results for crystalline LiPu2FeGe6 at its relaxed geometry. Values from VASP.

Geometry as Quantum ESPRESSO input:
```
&SYSTEM
  ibrav = 0, nat = 20, ntyp = 4
/
ATOMIC_SPECIES
Li 6.94 Li.upf
Pu 244.00 Pu.upf
Fe 55.84 Fe.upf
Ge 72.64 Ge.upf
ATOMIC_POSITIONS crystal
Li 0.572 0.572 0.283
Li 0.428 0.428 0.717
Pu 0.889 0.889 0.333
Pu 0.111 0.111 0.667
Pu 0.709 0.709 0.872
Pu 0.291 0.291 0.128
Fe 0.000 0.000 0.000
Fe 0.500 0.500 0.500
Ge 0.926 0.339 0.396
Ge 0.339 0.926 0.396
Ge 0.339 0.339 0.396
Ge 0.074 0.661 0.604
Ge 0.661 0.074 0.604
Ge 0.661 0.661 0.604
Ge 0.668 0.224 0.883
Ge 0.224 0.668 0.883
Ge 0.224 0.224 0.883
Ge 0.332 0.776 0.117
Ge 0.776 0.332 0.117
Ge 0.776 0.776 0.117
CELL_PARAMETERS angstrom
-3.724 -0.717 -4.777
1.324 -4.108 -4.309
-6.681 -9.563 2.749
```

=====

[3]
DFT (PBE) results for crystalline LiPuFeGe at its relaxed geometry. Values from VASP.

Geometry as Quantum ESPRESSO input:
```
&SYSTEM
  ibrav = 0, nat = 4, ntyp = 4
/
ATOMIC_SPECIES
Ge 72.64 Ge.upf
Li 6.94 Li.upf
Fe 55.84 Fe.upf
Pu 244.00 Pu.upf
ATOMIC_POSITIONS crystal
Ge 0.250 0.250 0.250
Li 0.000 0.000 0.000
Fe 0.500 0.500 0.500
Pu 0.750 0.750 0.750
CELL_PARAMETERS angstrom
-0.369 -0.485 4.448
3.687 -0.423 2.526
1.244 3.337 2.733
```

=====

[4]
DFT (PBE) results for crystalline LiFeGeRh at its relaxed geometry. Values from VASP.

Geometry as Quantum ESPRESSO input:
```
&SYSTEM
  ibrav = 0, nat = 4, ntyp = 4
/
ATOMIC_SPECIES
Ge 72.64 Ge.upf
Rh 102.91 Rh.upf
Fe 55.84 Fe.upf
Li 6.94 Li.upf
ATOMIC_POSITIONS crystal
Ge 0.250 0.250 0.250
Rh 0.500 0.500 0.500
Fe 0.000 0.000 0.000
Li 0.750 0.750 0.750
CELL_PARAMETERS angstrom
-1.916 1.184 3.455
-1.070 -2.804 2.830
1.985 -0.145 3.613
```

=====

[5]
DFT (PBE) results for crystalline LiFeGeRu at its relaxed geometry. Values from VASP.

Geometry as Quantum ESPRESSO input:
```
&SYSTEM
  ibrav = 0, nat = 4, ntyp = 4
/
ATOMIC_SPECIES
Ru 101.07 Ru.upf
Ge 72.64 Ge.upf
Fe 55.84 Fe.upf
Li 6.94 Li.upf
ATOMIC_POSITIONS crystal
Ru 0.000 0.000 0.000
Ge 0.250 0.250 0.250
Fe 0.750 0.750 0.750
Li 0.500 0.500 0.500
CELL_PARAMETERS angstrom
-1.234 -1.066 3.861
-2.062 -3.595 0.623
1.874 -3.172 1.998
```

=====

[6]
DFT (PBE) results for crystalline SrLiFeGe2 at its relaxed geometry. Values from VASP.

Geometry as Quantum ESPRESSO input:
```
&SYSTEM
  ibrav = 0, nat = 5, ntyp = 4
/
ATOMIC_SPECIES
Sr 87.62 Sr.upf
Ge 72.64 Ge.upf
Fe 55.84 Fe.upf
Li 6.94 Li.upf
ATOMIC_POSITIONS crystal
Sr 0.000 0.500 0.000
Ge 0.000 0.000 0.500
Ge 0.500 0.000 0.000
Fe 0.000 0.000 0.000
Li 0.500 0.500 0.500
CELL_PARAMETERS angstrom
-1.496 3.128 2.945
-4.919 -1.455 -0.953
0.250 -3.049 3.366
```

=====

[7]
DFT (PBE) results for crystalline LiThFeGe2 at its relaxed geometry. Values from VASP.

Geometry as Quantum ESPRESSO input:
```
&SYSTEM
  ibrav = 0, nat = 5, ntyp = 4
/
ATOMIC_SPECIES
Li 6.94 Li.upf
Th 232.04 Th.upf
Fe 55.84 Fe.upf
Ge 72.64 Ge.upf
ATOMIC_POSITIONS crystal
Li 0.250 0.750 0.500
Th 0.000 0.000 0.000
Fe 0.750 0.250 0.500
Ge 0.624 0.624 0.248
Ge 0.376 0.376 0.752
CELL_PARAMETERS angstrom
-1.145 -1.127 3.806
-3.297 -1.935 -1.565
5.040 -2.897 -1.583
```

=====

[8]
DFT (PBE) results for crystalline LiUFeGe at its relaxed geometry. Values from VASP.

Geometry as Quantum ESPRESSO input:
```
&SYSTEM
  ibrav = 0, nat = 4, ntyp = 4
/
ATOMIC_SPECIES
Ge 72.64 Ge.upf
U 238.03 U.upf
Fe 55.84 Fe.upf
Li 6.94 Li.upf
ATOMIC_POSITIONS crystal
Ge 0.250 0.250 0.250
U 0.750 0.750 0.750
Fe 0.000 0.000 0.000
Li 0.500 0.500 0.500
CELL_PARAMETERS angstrom
-3.931 -0.632 -1.945
-0.390 -2.920 -3.309
-2.204 -3.790 0.639
```

=====

[9]
DFT (PBE) results for crystalline LiZrFeGe at its relaxed geometry. Values from VASP.

Geometry as Quantum ESPRESSO input:
```
&SYSTEM
  ibrav = 0, nat = 4, ntyp = 4
/
ATOMIC_SPECIES
Ge 72.64 Ge.upf
Fe 55.84 Fe.upf
Zr 91.22 Zr.upf
Li 6.94 Li.upf
ATOMIC_POSITIONS crystal
Ge 0.000 0.000 0.000
Fe 0.750 0.750 0.750
Zr 0.500 0.500 0.500
Li 0.250 0.250 0.250
CELL_PARAMETERS angstrom
4.321 0.000 0.000
2.161 3.742 0.000
2.161 1.247 3.528
```

=====

[10]
DFT (PBE) results for crystalline LiZrFeGe2 at its relaxed geometry. Values from VASP.

Geometry as Quantum ESPRESSO input:
```
&SYSTEM
  ibrav = 0, nat = 5, ntyp = 4
/
ATOMIC_SPECIES
Ge 72.64 Ge.upf
Fe 55.84 Fe.upf
Zr 91.22 Zr.upf
Li 6.94 Li.upf
ATOMIC_POSITIONS crystal
Ge 0.000 0.000 0.500
Ge 0.500 0.000 0.000
Fe 0.500 0.500 0.500
Zr 0.000 0.500 0.000
Li 0.000 0.000 0.000
CELL_PARAMETERS angstrom
-0.133 -2.713 -3.064
-2.653 -2.993 2.766
-3.429 1.747 -1.398
```

=====

[11]
DFT (PBE) results for crystalline Lu4FeGe8 at its relaxed geometry. Values from VASP.

Geometry as Quantum ESPRESSO input:
```
&SYSTEM
  ibrav = 0, nat = 13, ntyp = 3
/
ATOMIC_SPECIES
Lu 174.97 Lu.upf
Fe 55.84 Fe.upf
Ge 72.64 Ge.upf
ATOMIC_POSITIONS crystal
Lu 0.000 0.000 0.098
Lu 0.000 0.500 0.606
Lu 0.500 0.500 0.397
Lu 0.500 0.000 0.897
Fe 0.000 0.000 0.309
Ge 0.000 0.000 0.457
Ge 0.000 0.500 0.941
Ge 0.500 0.500 0.054
Ge 0.500 0.000 0.567
Ge 0.000 0.500 0.238
Ge 0.000 0.000 0.750
Ge 0.500 0.000 0.236
Ge 0.500 0.500 0.754
CELL_PARAMETERS angstrom
-0.871 1.281 3.664
-0.092 -3.862 1.328
15.157 0.785 3.328
```

=====

[12]
DFT (PBE) results for crystalline LuFe4Ge2 at its relaxed geometry. Values from VASP.

Geometry as Quantum ESPRESSO input:
```
&SYSTEM
  ibrav = 0, nat = 14, ntyp = 3
/
ATOMIC_SPECIES
Lu 174.97 Lu.upf
Fe 55.84 Fe.upf
Ge 72.64 Ge.upf
ATOMIC_POSITIONS crystal
Lu 0.000 0.500 0.500
Lu 0.500 0.000 0.000
Fe 0.500 0.858 0.377
Fe 0.500 0.142 0.623
Fe 0.000 0.642 0.877
Fe 0.000 0.358 0.123
Fe 0.500 0.568 0.150
Fe 0.500 0.432 0.850
Fe 0.000 0.932 0.650
Fe 0.000 0.068 0.350
Ge 0.500 0.256 0.315
Ge 0.500 0.744 0.685
Ge 0.000 0.244 0.815
Ge 0.000 0.756 0.185
CELL_PARAMETERS angstrom
-2.775 2.171 2.016
-4.391 -1.186 -4.769
-2.243 -6.220 3.612
```

=====

[13]
DFT (PBE) results for crystalline LuFe6Ge6 at its relaxed geometry. Values from VASP.

Geometry as Quantum ESPRESSO input:
```
&SYSTEM
  ibrav = 0, nat = 13, ntyp = 3
/
ATOMIC_SPECIES
Lu 174.97 Lu.upf
Fe 55.84 Fe.upf
Ge 72.64 Ge.upf
ATOMIC_POSITIONS crystal
Lu 0.000 0.000 0.000
Fe 0.500 0.000 0.249
Fe 0.500 0.500 0.249
Fe 0.000 0.500 0.249
Fe 0.500 0.000 0.751
Fe 0.500 0.500 0.751
Fe 0.000 0.500 0.751
Ge 0.000 0.000 0.345
Ge 0.000 0.000 0.655
Ge 0.333 0.667 0.500
Ge 0.667 0.333 0.500
Ge 0.333 0.667 0.000
Ge 0.667 0.333 0.000
CELL_PARAMETERS angstrom
-2.957 -2.063 3.591
5.065 -0.246 0.424
0.003 7.006 4.028
```

=====

[14]
DFT (PBE) results for crystalline MgFeGe2 at its relaxed geometry. Values from VASP.

Geometry as Quantum ESPRESSO input:
```
&SYSTEM
  ibrav = 0, nat = 8, ntyp = 3
/
ATOMIC_SPECIES
Mg 24.30 Mg.upf
Ge 72.64 Ge.upf
Fe 55.84 Fe.upf
ATOMIC_POSITIONS crystal
Mg 0.500 0.500 0.000
Mg 0.250 0.750 0.500
Ge 0.688 0.125 0.250
Ge 0.062 0.625 0.250
Ge 0.375 0.312 0.750
Ge 0.875 0.938 0.750
Fe 0.000 0.000 0.000
Fe 0.750 0.250 0.500
CELL_PARAMETERS angstrom
4.146 0.000 0.000
0.000 4.146 0.000
2.073 2.073 8.432
```

=====

[15]
DFT (PBE) results for crystalline MgFeGe2 at its relaxed geometry. Values from VASP.

Geometry as Quantum ESPRESSO input:
```
&SYSTEM
  ibrav = 0, nat = 4, ntyp = 3
/
ATOMIC_SPECIES
Mg 24.30 Mg.upf
Ge 72.64 Ge.upf
Fe 55.84 Fe.upf
ATOMIC_POSITIONS crystal
Mg 0.500 0.500 0.500
Ge 0.000 0.000 0.798
Ge 0.000 0.000 0.202
Fe 0.500 0.500 0.000
CELL_PARAMETERS angstrom
3.067 0.000 0.000
0.000 3.067 0.000
0.000 0.000 6.657
```

=====

[16]
! PBE MgFe3Ge, relaxed; values from VASP
! polymorph energy (0 for the lowest one) = 779 meV/atom
&SYSTEM
  ibrav = 0, nat = 5, ntyp = 3
/
ATOMIC_SPECIES
Mg 24.30 Mg.upf
Ge 72.64 Ge.upf
Fe 55.84 Fe.upf
ATOMIC_POSITIONS crystal
Mg 0.000 0.000 0.000
Ge 0.500 0.500 0.500
Fe 0.000 0.500 0.000
Fe 0.000 0.000 0.500
Fe 0.500 0.000 0.000
CELL_PARAMETERS angstrom
4.460 0.000 0.000
0.000 4.460 0.000
0.000 0.000 4.460

=====

[17]
! PBE MgFe6Ge6, relaxed; values from VASP
! polymorph energy (0 for the lowest one) = 4 meV/atom
&SYSTEM
  ibrav = 0, nat = 13, ntyp = 3
/
ATOMIC_SPECIES
Mg 24.30 Mg.upf
Fe 55.84 Fe.upf
Ge 72.64 Ge.upf
ATOMIC_POSITIONS crystal
Mg 0.000 0.000 0.000
Fe 0.000 0.500 0.000
Fe 0.500 0.500 0.000
Fe 0.000 0.000 0.500
Fe 0.500 0.000 0.500
Fe 0.500 0.749 0.251
Fe 0.500 0.251 0.749
Ge 0.333 0.667 0.667
Ge 0.667 0.333 0.333
Ge 0.000 0.341 0.659
Ge 0.000 0.659 0.341
Ge 0.335 0.165 0.165
Ge 0.665 0.835 0.835
CELL_PARAMETERS angstrom
-1.182 -3.596 -3.351
5.182 -2.580 -2.873
0.214 -5.955 2.501

=====

[18]
! PBE MgFe3Ge, relaxed; values from VASP
! polymorph energy (0 for the lowest one) = 0 meV/atom
&SYSTEM
  ibrav = 0, nat = 5, ntyp = 3
/
ATOMIC_SPECIES
Mg 24.30 Mg.upf
Ge 72.64 Ge.upf
Fe 55.84 Fe.upf
ATOMIC_POSITIONS crystal
Mg 0.500 0.500 0.500
Ge 0.000 0.000 0.000
Fe 0.000 0.500 0.000
Fe 0.000 0.000 0.500
Fe 0.500 0.000 0.000
CELL_PARAMETERS angstrom
-2.658 -0.778 3.445
-3.233 -1.200 -2.765
1.422 -4.183 0.153

=====

[19]
! PBE MgFe6Ge6, relaxed; values from VASP
! polymorph energy (0 for the lowest one) = 0 meV/atom
&SYSTEM
  ibrav = 0, nat = 13, ntyp = 3
/
ATOMIC_SPECIES
Mg 24.30 Mg.upf
Fe 55.84 Fe.upf
Ge 72.64 Ge.upf
ATOMIC_POSITIONS crystal
Mg 0.000 0.000 0.000
Fe 0.500 0.000 0.249
Fe 0.500 0.500 0.249
Fe 0.000 0.500 0.249
Fe 0.500 0.000 0.751
Fe 0.500 0.500 0.751
Fe 0.000 0.500 0.751
Ge 0.000 0.000 0.341
Ge 0.000 0.000 0.659
Ge 0.333 0.667 0.000
Ge 0.667 0.333 0.000
Ge 0.333 0.667 0.500
Ge 0.667 0.333 0.500
CELL_PARAMETERS angstrom
5.033 0.000 0.000
-2.516 4.359 0.000
0.000 0.000 8.026

=====

[20]
DFT (PBE) results for crystalline MgFe2Ge at its relaxed geometry. Values from VASP.

Geometry as Quantum ESPRESSO input:
```
&SYSTEM
  ibrav = 0, nat = 8, ntyp = 3
/
ATOMIC_SPECIES
Mg 24.30 Mg.upf
Ge 72.64 Ge.upf
Fe 55.84 Fe.upf
ATOMIC_POSITIONS crystal
Mg 0.500 0.500 0.000
Mg 0.250 0.750 0.500
Ge 0.000 0.000 0.000
Ge 0.750 0.250 0.500
Fe 0.655 0.125 0.250
Fe 0.095 0.625 0.250
Fe 0.375 0.345 0.750
Fe 0.875 0.905 0.750
CELL_PARAMETERS angstrom
6.887 0.000 0.000
0.000 6.887 0.000
3.444 3.444 2.625
```

=====

Number 1: spin magnetization 3.25 μB per formula unit, final energy -4.213 eV/atom, formation energy from the elements 0.377 eV/atom. Number 2: spin magnetization 10.22 μB per formula unit, final energy -6.909 eV/atom, formation energy from the elements -0.234 eV/atom. Number 3: spin magnetization 3.00 μB per formula unit, final energy -7.452 eV/atom, formation energy from the elements -0.121 eV/atom. Number 4: spin magnetization 1.49 μB per formula unit, final energy -5.857 eV/atom, formation energy from the elements -0.271 eV/atom. Number 5: spin magnetization 2.96 μB per formula unit, final energy -6.275 eV/atom, formation energy from the elements -0.207 eV/atom. Number 6: spin magnetization 1.32 μB per formula unit, final energy -4.155 eV/atom, formation energy from the elements 0.103 eV/atom. Number 7: spin magnetization 2.11 μB per formula unit, final energy -5.878 eV/atom, formation energy from the elements -0.472 eV/atom. Number 8: spin magnetization 0.99 μB per formula unit, final energy -6.619 eV/atom, formation energy from the elements -0.049 eV/atom. Number 9: spin magnetization 1.02 μB per formula unit, final energy -6.220 eV/atom, formation energy from the elements -0.335 eV/atom. Number 10: spin magnetization 0.00 μB per formula unit, final energy -4.806 eV/atom, formation energy from the elements 0.826 eV/atom. Number 11: spin magnetization 0.93 μB per formula unit, final energy -5.419 eV/atom, formation energy from the elements -0.536 eV/atom. Number 12: spin magnetization 7.82 μB per formula unit, final energy -7.117 eV/atom, formation energy from the elements -0.316 eV/atom. Number 13: spin magnetization 10.40 μB per formula unit, final energy -6.662 eV/atom, formation energy from the elements -0.277 eV/atom. Number 14: spin magnetization 2.44 μB per formula unit, final energy -4.573 eV/atom, formation energy from the elements 0.250 eV/atom. Number 15: spin magnetization 0.98 μB per formula unit, final energy -4.833 eV/atom, formation energy from the elements -0.010 eV/atom. Number 16: spin magnetization 7.99 μB per formula unit, final energy -4.855 eV/atom, formation energy from the elements 1.465 eV/atom. Number 17: spin magnetization 10.29 μB per formula unit, final energy -6.303 eV/atom, formation energy from the elements -0.143 eV/atom. Number 18: spin magnetization 6.75 μB per formula unit, final energy -5.635 eV/atom, formation energy from the elements 0.685 eV/atom. Number 19: spin magnetization 8.69 μB per formula unit, final energy -6.307 eV/atom, formation energy from the elements -0.147 eV/atom. Number 20: spin magnetization 4.55 μB per formula unit, final energy -5.395 eV/atom, formation energy from the elements 0.389 eV/atom.